(1)
Be7C PBE-GGA optimized geometry; energy of formation = 3.2 eV per formula unit; space-group type = No. 225; M_tot = 0.0000 μB per atom; theoretical density = 2.1 g cm⁻³; raw total energy = -4.01 eV/atom
1.0
-4.1081 -1.5349 0.2349
-2.3853 0.6563 3.6287
-3.3932 2.7871 -0.0769
Be C
7 1
Direct
0.0000 0.5000 0.0000 Be
0.5000 0.5000 0.0000 Be
0.0000 0.5000 0.5000 Be
0.5000 0.0000 0.5000 Be
0.0000 0.0000 0.5000 Be
0.5000 0.0000 0.0000 Be
0.5000 0.5000 0.5000 Be
0.0000 0.0000 0.0000 C



(2)
Be2C PBE-GGA optimized geometry; energy of formation = 2.9 eV per formula unit; space-group type = No. 141; M_tot = 0.0000 μB per atom; theoretical density = 2.1 g cm⁻³; raw total energy = -4.58 eV/atom; relative energy among the computed polymorphs = 1219 meV/atom
1.0
-1.1639 1.1639 8.7241
1.1639 -1.1639 8.7241
1.1639 1.1639 -8.7241
Be C
4 2
Direct
0.5641 0.5641 0.0000 Be
0.1859 0.6859 0.5000 Be
0.4359 0.4359 0.0000 Be
0.3141 0.8141 0.5000 Be
0.0000 0.0000 0.0000 C
0.7500 0.2500 0.5000 C



(3)
Be2C PBE-GGA optimized geometry; energy of formation = 0.2 eV per formula unit; space-group type = No. 5; M_tot = 0.0000 μB per atom; theoretical density = 2.3 g cm⁻³; raw total energy = -5.49 eV/atom; relative energy among the computed polymorphs = 306 meV/atom
1.0
-0.2574 3.9085 -2.6086
2.0944 -1.8706 -3.0094
-3.8026 -1.9947 -1.4066
Be C
8 4
Direct
0.6023 0.9823 0.3188 Be
0.3977 0.9823 0.6812 Be
0.6023 0.4823 0.8188 Be
0.3977 0.4823 0.1812 Be
0.0000 0.1271 0.0000 Be
0.0000 0.6271 0.5000 Be
0.0000 0.6400 0.0000 Be
0.0000 0.1400 0.5000 Be
0.2344 0.8732 0.2885 C
0.7656 0.8732 0.7115 C
0.2344 0.3732 0.7885 C
0.7656 0.3732 0.2115 C



(4)
Be2C PBE-GGA optimized geometry; energy of formation = 0.4 eV per formula unit; space-group type = No. 162; M_tot = 0.0000 μB per atom; theoretical density = 2.1 g cm⁻³; raw total energy = -5.42 eV/atom; relative energy among the computed polymorphs = 380 meV/atom
1.0
2.3480 -4.0669 0.0000
2.3480 4.0669 0.0000
0.0000 0.0000 3.6976
Be C
6 3
Direct
0.3279 0.3279 0.7228 Be
0.6721 0.0000 0.7228 Be
0.0000 0.6721 0.7228 Be
0.0000 0.3279 0.2772 Be
0.3279 0.0000 0.2772 Be
0.6721 0.6721 0.2772 Be
0.0000 0.0000 0.0000 C
0.3333 0.6667 0.5000 C
0.6667 0.3333 0.5000 C



(5)
BeC3 PBE-GGA optimized geometry; energy of formation = 8.9 eV per formula unit; space-group type = No. 229; M_tot = 0.0000 μB per atom; theoretical density = 2.9 g cm⁻³; raw total energy = -5.63 eV/atom; relative energy among the computed polymorphs = 1314 meV/atom
1.0
3.2166 0.0000 0.0000
-1.0722 3.0326 0.0000
-1.0722 -1.5165 2.6261
Be C
1 3
Direct
0.0000 0.0000 0.0000 Be
0.5000 0.5000 0.0000 C
0.0000 0.5000 0.5000 C
0.5000 0.0000 0.5000 C



(6)
Be7C5 PBE-GGA optimized geometry; energy of formation = 11.2 eV per formula unit; space-group type = No. 107; M_tot = 0.0000 μB per atom; theoretical density = 2.4 g cm⁻³; raw total energy = -5.08 eV/atom
1.0
4.8115 -0.0044 0.0000
-1.1389 4.6748 0.0000
-1.8363 -2.3352 3.7849
Be C
7 5
Direct
0.4005 0.4005 0.0000 Be
0.9635 0.4635 0.5000 Be
0.4635 0.9635 0.5000 Be
0.4501 0.7135 0.7366 Be
0.9769 0.7135 0.2634 Be
0.7135 0.4501 0.7366 Be
0.7135 0.9769 0.2634 Be
0.0985 0.0985 0.0000 C
0.7691 0.7691 0.5781 C
0.1909 0.1909 0.4219 C
0.1909 0.7691 0.0000 C
0.7691 0.1909 0.0000 C



(7)
BeC3 PBE-GGA optimized geometry; energy of formation = 4.7 eV per formula unit; space-group type = No. 62; M_tot = 0.0000 μB per atom; theoretical density = 1.7 g cm⁻³; raw total energy = -6.68 eV/atom; relative energy among the computed polymorphs = 265 meV/atom
1.0
-4.5775 1.0707 -2.2172
1.2946 -3.7650 -4.4909
-2.4175 -4.3049 2.9122
Be C
4 12
Direct
0.6377 0.7538 0.7500 Be
0.1377 0.7462 0.2500 Be
0.8623 0.2538 0.7500 Be
0.3623 0.2462 0.2500 Be
0.2420 0.2393 0.7500 C
0.7420 0.2607 0.2500 C
0.2580 0.7393 0.7500 C
0.7580 0.7607 0.2500 C
0.7484 0.2601 0.0234 C
0.2484 0.2399 0.9766 C
0.7516 0.7601 0.4766 C
0.2516 0.7399 0.5234 C
0.2516 0.7399 0.9766 C
0.7516 0.7601 0.0234 C
0.2484 0.2399 0.5234 C
0.7484 0.2601 0.4766 C



(8)
BeC3 PBE-GGA optimized geometry; energy of formation = 6.0 eV per formula unit; space-group type = No. 25; M_tot = 0.0000 μB per atom; theoretical density = 2.4 g cm⁻³; raw total energy = -6.36 eV/atom; relative energy among the computed polymorphs = 588 meV/atom
1.0
-0.9655 2.3112 -0.1637
-3.4988 -1.3349 1.7889
1.1471 0.6738 2.7463
Be C
1 3
Direct
0.0000 0.0000 0.9135 Be
0.5000 0.0000 0.4065 C
0.5000 0.5000 0.5967 C
0.0000 0.5000 0.7500 C



(9)
Be2C PBE-GGA optimized geometry; energy of formation = 0.6 eV per formula unit; space-group type = No. 194; M_tot = 0.0000 μB per atom; theoretical density = 2.3 g cm⁻³; raw total energy = -5.35 eV/atom; relative energy among the computed polymorphs = 450 meV/atom
1.0
1.5344 -2.6577 0.0000
1.5344 2.6577 0.0000
0.0000 0.0000 5.3446
Be C
4 2
Direct
0.3333 0.6667 0.4156 Be
0.6667 0.3333 0.9156 Be
0.6667 0.3333 0.5844 Be
0.3333 0.6667 0.0844 Be
0.3333 0.6667 0.7500 C
0.6667 0.3333 0.2500 C



(10)
Be2C PBE-GGA optimized geometry; energy of formation = -0.1 eV per formula unit; space-group type = No. 186; M_tot = 0.0000 μB per atom; theoretical density = 2.3 g cm⁻³; raw total energy = -5.60 eV/atom; relative energy among the computed polymorphs = 199 meV/atom
1.0
-0.2900 1.9856 -2.2446
-2.0730 -2.1491 0.3860
-2.8624 3.3616 3.3435
Be C
4 2
Direct
0.3333 0.6667 0.9426 Be
0.6667 0.3333 0.4426 Be
0.0000 0.0000 0.6484 Be
0.0000 0.0000 0.1484 Be
0.3333 0.6667 0.5992 C
0.6667 0.3333 0.0992 C



(11)
BeC3 PBE-GGA optimized geometry; energy of formation = 12.6 eV per formula unit; space-group type = No. 221; M_tot = 0.0000 μB per atom; theoretical density = 1.8 g cm⁻³; raw total energy = -4.70 eV/atom; relative energy among the computed polymorphs = 2247 meV/atom
1.0
-1.9835 2.6472 1.0469
-1.8118 -0.1898 -2.9529
-2.1957 -2.2348 1.4909
Be C
1 3
Direct
0.0000 0.0000 0.0000 Be
0.5000 0.0000 0.0000 C
0.0000 0.5000 0.0000 C
0.0000 0.0000 0.5000 C



(12)
Be2C PBE-GGA optimized geometry; energy of formation = 4.4 eV per formula unit; space-group type = No. 227; M_tot = 0.0000 μB per atom; theoretical density = 2.1 g cm⁻³; raw total energy = -4.10 eV/atom; relative energy among the computed polymorphs = 1696 meV/atom
1.0
0.0000 2.8532 2.8532
2.8532 0.0000 2.8532
2.8532 2.8532 0.0000
Be C
4 2
Direct
0.6250 0.1250 0.1250 Be
0.1250 0.6250 0.1250 Be
0.1250 0.1250 0.6250 Be
0.1250 0.1250 0.1250 Be
0.5000 0.5000 0.5000 C
0.7500 0.7500 0.7500 C